{
  "formula": "Fe2SnPbO6",
  "functional": "PBE with a Hubbard U",
  "state": "relaxed",
  "e_tot_ev_per_atom": -6.24,
  "vol_a3_per_atom": 12.58,
  "cell": [[5.486, 0.000, 0.001], [2.743, 4.752, 0.000], [2.743, 1.584, 4.825]],
  "species": ["O", "O", "O", "O", "O", "O", "Sn", "Fe", "Fe", "Pb"],
  "fractional_positions": [[0.230, 0.826, 0.250], [0.759, 0.112, 0.727], [0.694, 0.230, 0.250], [0.826, 0.694, 0.250], [0.402, 0.759, 0.727], [0.112, 0.402, 0.727], [0.814, 0.814, 0.559], [0.023, 0.023, 0.930], [0.516, 0.516, 0.451], [0.285, 0.285, 0.144]]
}